Entry from Alexandria via LeMat-Bulk: Tb2Nd3NpN6 after structural relaxation (PBE-GGA).

Computed properties:
Final energy ... -8.6538 eV/atom

abc: 6.122 6.122 6.174
angles: 99.52 99.52 119.98
Fractional positions:
1 Tb 0.166 0.834 0.000
2 Tb 0.834 0.166 0.000
3 Nd 0.000 0.000 0.500
4 Nd 0.332 0.668 0.500
5 Nd 0.668 0.332 0.500
6 Np 0.500 0.500 0.000
7 N 0.114 0.425 0.776
8 N 0.263 0.263 0.226
9 N 0.425 0.114 0.776
10 N 0.575 0.886 0.224
11 N 0.737 0.737 0.774
12 N 0.886 0.575 0.224

---

Entry from Alexandria via LeMat-Bulk: Nd2NpTc2N6 after structural relaxation (PBE-GGA).

Computed properties:
Final energy ... -9.0669 eV/atom

abc: 6.676 6.676 6.676
angles: 51.04 51.04 51.04
Fractional positions:
1 Nd 0.209 0.209 0.209
2 Nd 0.791 0.791 0.791
3 Np 0.000 0.000 0.000
4 Tc 0.396 0.396 0.396
5 Tc 0.604 0.604 0.604
6 N 0.222 0.749 0.749
7 N 0.251 0.251 0.778
8 N 0.251 0.778 0.251
9 N 0.749 0.222 0.749
10 N 0.749 0.749 0.222
11 N 0.778 0.251 0.251

---

Entry from Alexandria via LeMat-Bulk: NdNpTe2N after structural relaxation (PBE-GGA).

Computed properties:
Final energy ... -7.6319 eV/atom

abc: 4.071 4.071 16.634
angles: 90.00 90.00 90.00
Fractional positions:
1 Nd 0.250 0.250 0.147
2 Nd 0.750 0.750 0.853
3 Np 0.250 0.250 0.563
4 Np 0.750 0.750 0.437
5 Te 0.250 0.250 0.329
6 Te 0.250 0.250 0.920
7 Te 0.750 0.750 0.080
8 Te 0.750 0.750 0.671
9 N 0.250 0.750 0.500
10 N 0.750 0.250 0.500